A plane-wave DFT calculation with GGA-PBE was carried out for a geometry-optimized ZnInCo2 structure.

Its space-group type is No. 44. As for the spin magnetization: 2.543 μB/f.u. Its formation energy is 0.15 eV/atom. For the density of states at the Fermi level, the calculation gives 3.6 states/eV/cell.

Lattice parameters (Å, degrees): 5.049 5.049 5.049 143.93 130.58 62.69
Atoms (fractional coordinates):
Zn 0.000 0.000 0.000
In 0.724 0.224 0.500
Co 0.247 0.747 0.500
Co 0.462 0.462 0.000


A plane-wave DFT calculation with GGA-PBE was carried out for a geometry-optimized Pm4Tl2Ru structure.

Its space-group type is No. 10. As for the spin magnetization: 0.000 μB/f.u. Its formation energy is -0.19 eV/atom. For the energy above the most stable polymorph in this dataset, the calculation gives 117 meV/atom. For the density of states at the Fermi level, the calculation gives 6.7 states/eV/cell.

Lattice parameters (Å, degrees): 6.674 3.751 9.328 90.00 110.70 90.00
Atoms (fractional coordinates):
Pm 0.129 0.000 0.256
Pm 0.319 0.500 0.652
Pm 0.681 0.500 0.348
Pm 0.871 0.000 0.744
Tl 0.263 0.500 0.998
Tl 0.737 0.500 0.002
Ru 0.000 0.000 0.500


A plane-wave DFT calculation with GGA-PBE was carried out for a geometry-optimized Tb2Tl2Bi structure.

Its space-group type is No. 15. As for the spin magnetization: 0.000 μB/f.u. Its formation energy is -0.21 eV/atom. For the density of states at the Fermi level, the calculation gives 6.9 states/eV/cell.

Lattice parameters (Å, degrees): 7.612 7.612 6.156 103.22 103.22 103.35
Atoms (fractional coordinates):
Tb 0.104 0.896 0.750
Tb 0.383 0.617 0.250
Tb 0.617 0.383 0.750
Tb 0.896 0.104 0.250
Tl 0.048 0.311 0.847
Tl 0.311 0.048 0.347
Tl 0.689 0.952 0.653
Tl 0.952 0.689 0.153
Bi 0.360 0.640 0.750
Bi 0.640 0.360 0.250


A plane-wave DFT calculation with GGA-PBE was carried out for a geometry-optimized BaBeRh structure.

Its space-group type is No. 129. As for the spin magnetization: 0.001 μB/f.u. Its formation energy is -0.36 eV/atom. For the energy above the most stable polymorph in this dataset, the calculation gives 0 meV/atom. For the density of states at the Fermi level, the calculation gives 3.4 states/eV/cell.

Lattice parameters (Å, degrees): 4.293 4.293 9.048 90.00 90.00 90.00
Atoms (fractional coordinates):
Ba 0.250 0.250 0.224
Ba 0.750 0.750 0.776
Be 0.250 0.250 0.575
Be 0.750 0.750 0.425
Rh 0.250 0.750 0.500
Rh 0.750 0.250 0.500